Record 1
ErNi3C PBE optimized geometry; V = 125.9 Å³ per cell; energy = -62.88 eV/cell
1.0
5.475 0.000 0.000
-2.738 4.742 0.000
0.000 0.000 4.851
Er Ni C
2 6 2
Direct
0.333 0.667 0.250 Er
0.667 0.333 0.750 Er
0.163 0.326 0.750 Ni
0.163 0.837 0.750 Ni
0.326 0.163 0.250 Ni
0.674 0.837 0.750 Ni
0.837 0.163 0.250 Ni
0.837 0.674 0.250 Ni
0.000 0.000 0.000 C
0.000 0.000 0.500 C


Record 2
ZnPbAu3 PBE optimized geometry; V = 118.0 Å³ per cell; energy relative to the lowest polymorph listed for this composition = 271 meV/atom; energy = -14.00 eV/cell
1.0
4.904 0.000 0.000
0.000 4.904 0.000
0.000 0.000 4.904
Zn Pb Au
1 1 3
Direct
0.000 0.000 0.000 Zn
0.500 0.500 0.500 Pb
0.000 0.000 0.500 Au
0.000 0.500 0.000 Au
0.500 0.000 0.000 Au